(1)
Ca2Si3AsPt4 after structural relaxation. Source: the Alexandria database, functional PBE-GGA.

Cell: 4.300 4.300 9.895 Å, 90.00 90.00 90.00°
Fractional positions:
1 Ca 0.500 0.000 0.251
2 Ca 0.000 0.500 0.749
3 Si 0.000 0.000 0.500
4 Si 0.500 0.000 0.876
5 Si 0.000 0.500 0.124
6 As 0.500 0.500 0.500
7 Pt 0.500 0.500 0.000
8 Pt 0.000 0.000 0.000
9 Pt 0.500 0.000 0.634
10 Pt 0.000 0.500 0.366

Values from the calculation:
Total moment ... 0.00 μB/cell
Energy relative to the elements, uncorrected ... -0.886 eV/atom

(2)
Nd5Bi2Pd after structural relaxation. Source: the Alexandria database, functional PBE-GGA.

Cell: 6.157 7.013 14.318 Å, 90.00 90.00 116.03°
Fractional positions:
1 Nd 0.936 0.873 0.892
2 Nd 0.936 0.873 0.608
3 Nd 0.374 0.749 0.428
4 Nd 0.374 0.749 0.072
5 Nd 0.637 0.274 0.250
6 Nd 0.363 0.726 0.750
7 Nd 0.626 0.251 0.572
8 Nd 0.626 0.251 0.928
9 Nd 0.064 0.127 0.108
10 Nd 0.064 0.127 0.392
11 Bi 0.806 0.611 0.407
12 Bi 0.806 0.611 0.093
13 Bi 0.194 0.389 0.593
14 Bi 0.194 0.389 0.907
15 Pd 0.778 0.555 0.750
16 Pd 0.222 0.445 0.250

Values from the calculation:
Energy of formation ... -0.366 eV per atom
Total moment ... 0.01 μB/cell

(3)
Cu2NiGePb after structural relaxation. Source: the Alexandria database, functional PBE-GGA.

Cell: 4.867 4.829 4.867 Å, 90.00 90.00 90.00°
Fractional positions:
1 Pb 0.000 0.000 0.000
2 Ni 0.000 0.500 0.000
3 Ge 0.500 0.500 0.500
4 Cu 0.000 0.000 0.500
5 Cu 0.500 0.000 0.000

Values from the calculation:
Energy of formation ... 1.073 eV per atom
Total moment ... 0.00 μB/cell

(4)
MgTa2Ag after structural relaxation. Source: the Alexandria database, functional PBE-GGA.

Cell: 10.237 10.237 10.237 Å, 16.33 16.33 16.33°
Fractional positions:
1 Ag 0.499 0.499 0.499
2 Mg 0.753 0.753 0.753
3 Ta 0.000 0.000 0.000
4 Ta 0.248 0.248 0.248

Values from the calculation:
Energy of formation ... 0.223 eV per atom
Total moment ... 0.00 μB/cell

(5)
Ag5OF4 after structural relaxation. Source: the Alexandria database, functional PBE-GGA.

Cell: 6.061 6.061 6.061 Å, 99.46 99.46 132.17°
Fractional positions:
1 Ag 0.903 0.271 0.176
2 Ag 0.271 0.095 0.368
3 Ag 0.726 0.903 0.632
4 Ag 0.095 0.726 0.824
5 Ag 0.500 0.500 0.000
6 O 0.000 0.000 0.000
7 F 0.448 0.808 0.259
8 F 0.808 0.549 0.360
9 F 0.189 0.448 0.640
10 F 0.549 0.189 0.741

Values from the calculation:
Total moment ... 0.59 μB/cell
Energy relative to the elements, uncorrected ... -0.755 eV/atom

Copy entry 5 word for word.
Ag5OF4 after structural relaxation. Source: the Alexandria database, functional PBE-GGA.

Cell: 6.061 6.061 6.061 Å, 99.46 99.46 132.17°
Fractional positions:
1 Ag 0.903 0.271 0.176
2 Ag 0.271 0.095 0.368
3 Ag 0.726 0.903 0.632
4 Ag 0.095 0.726 0.824
5 Ag 0.500 0.500 0.000
6 O 0.000 0.000 0.000
7 F 0.448 0.808 0.259
8 F 0.808 0.549 0.360
9 F 0.189 0.448 0.640
10 F 0.549 0.189 0.741

Values from the calculation:
Total moment ... 0.59 μB/cell
Energy relative to the elements, uncorrected ... -0.755 eV/atom

Which value of total moment does entry 4 give? 0.00 μB/cell

Look up the total moment of the third one. 0.00 μB/cell